--- one ---
DFT (PBE) results for crystalline CoHRhW2 at its relaxed geometry.

Structure (POSCAR):
```
CoHRhW2
1.0
3.913 0.000 0.000
0.000 3.913 0.000
0.000 0.000 3.871
Co H Rh W
1 1 1 2
Direct
0.000 0.000 0.000
0.500 0.500 0.500
0.500 0.500 0.000
0.000 0.500 0.500
0.500 0.000 0.500
```

=====

--- two ---
DFT (PBE) results for crystalline CoHRhW2 at its relaxed geometry.

Structure (POSCAR):
```
CoHRhW2
1.0
3.922 0.000 0.000
0.000 3.922 0.000
0.000 0.000 3.822
Co H Rh W
1 1 1 2
Direct
0.000 0.000 0.000
0.000 0.000 0.500
0.500 0.500 0.000
0.000 0.500 0.500
0.500 0.000 0.500
```

=====

Which of them is the least stable? Correct choice: one.

=====

--- one ---
DFT (PBE) results for crystalline Y2CoHRh at its relaxed geometry.

Structure (POSCAR):
```
Y2CoHRh
1.0
4.870 0.000 0.000
0.000 4.870 0.000
0.000 0.000 3.514
Y Co H Rh
2 1 1 1
Direct
0.000 0.500 0.000
0.500 0.000 0.000
0.000 0.000 0.500
0.500 0.500 0.000
0.500 0.500 0.500
```

=====

--- two ---
DFT (PBE) results for crystalline Y2CoHRh at its relaxed geometry.

Structure (POSCAR):
```
Y2CoHRh
1.0
4.866 0.000 0.000
0.000 4.866 0.000
0.000 0.000 3.407
Y Co H Rh
2 1 1 1
Direct
0.000 0.500 0.000
0.500 0.000 0.000
0.000 0.000 0.500
0.000 0.000 0.000
0.500 0.500 0.500
```

=====

Which of them is the least stable? Correct choice: one.

=====

--- one ---
DFT (PBE) results for crystalline ZnCoHRh2 at its relaxed geometry.

Structure (POSCAR):
```
ZnCoHRh2
1.0
3.918 0.000 0.000
0.000 3.918 0.000
0.000 0.000 3.587
Zn Co H Rh
1 1 1 2
Direct
0.000 0.000 0.000
0.500 0.500 0.000
0.500 0.500 0.500
0.000 0.500 0.500
0.500 0.000 0.500
```

=====

--- two ---
DFT (PBE) results for crystalline ZnCoHRh2 at its relaxed geometry.

Structure (POSCAR):
```
ZnCoHRh2
1.0
3.899 0.000 0.000
0.000 3.899 0.000
0.000 0.000 3.740
Zn Co H Rh
1 1 1 2
Direct
0.000 0.000 0.000
0.500 0.500 0.000
0.000 0.000 0.500
0.000 0.500 0.500
0.500 0.000 0.500
```

=====

Which of them is the least stable? Correct choice: two.